# 1
Below is a crystal of KAs2Rh relaxed with PBEsol, with properties calculated at the meta-GGA SCAN level.

Lattice parameters (Å, degrees): 3.107 3.107 7.915 90.00 90.00 90.00
Space group P4/mmm (No. 123)
Asymmetric unit:
K 0.000 0.000 0.000 (multiplicity 1)
As 0.500 0.500 0.317 (multiplicity 2)
Rh 0.000 0.000 0.500 (multiplicity 1)

Results
DOS(E_F): 0.78 states/eV/cell
formation energy: -0.34 eV/atom

# 2
Below is a crystal of KAs2Rh2 relaxed with PBEsol, with properties calculated at the meta-GGA SCAN level.

Lattice parameters (Å, degrees): 3.973 3.973 13.071 90.00 90.00 90.00
Space group I4/mmm (No. 139)
Asymmetric unit:
K 0.000 0.000 0.000 (multiplicity 2)
As 0.000 0.000 0.356 (multiplicity 4)
Rh 0.000 0.500 0.250 (multiplicity 4)

Results
DOS(E_F): 2.15 states/eV/cell
formation energy: -0.77 eV/atom

# 3
Below is a crystal of KAs4Ru relaxed with PBEsol, with properties calculated at the meta-GGA SCAN level.

Lattice parameters (Å, degrees): 7.808 7.808 7.808 90.00 90.00 90.00
Space group F-43m (No. 216)
Asymmetric unit:
K 0.000 0.000 0.000 (multiplicity 4)
As 0.124 0.124 0.376 (multiplicity 16)
Ru 0.250 0.250 0.750 (multiplicity 4)

Results
DOS(E_F): 14.28 states/eV/cell
formation energy: 0.55 eV/atom

# 4
Below is a crystal of K2AsRu relaxed with PBEsol, with properties calculated at the meta-GGA SCAN level.

Lattice parameters (Å, degrees): 2.789 2.789 10.695 90.00 90.00 90.00
Space group P4/mmm (No. 123)
Asymmetric unit:
K 0.000 0.000 0.245 (multiplicity 2)
As 0.500 0.500 0.000 (multiplicity 1)
Ru 0.500 0.500 0.500 (multiplicity 1)

Results
DOS(E_F): 2.45 states/eV/cell
formation energy: 0.62 eV/atom

# 5
Below is a crystal of K3AsS3 relaxed with PBEsol, with properties calculated at the meta-GGA SCAN level.

Lattice parameters (Å, degrees): 9.302 9.302 9.302 90.00 90.00 90.00
Space group P2_13 (No. 198)
Asymmetric unit:
K 0.061 0.439 0.561 (multiplicity 4)
K 0.064 0.564 0.936 (multiplicity 4)
K 0.174 0.174 0.174 (multiplicity 4)
As 0.226 0.774 0.274 (multiplicity 4)
S 0.042 0.244 0.847 (multiplicity 12)

Results
raw formation energy: -1126 meV per atom
DOS(E_F): 0.00 states/eV/cell

# 6
Below is a crystal of K2AsS relaxed with PBEsol, with properties calculated at the meta-GGA SCAN level.

Lattice parameters (Å, degrees): 11.601 11.601 4.964 90.00 90.00 90.00
Space group I-42d (No. 122)
Asymmetric unit:
K 0.034 0.250 0.125 (multiplicity 8)
As 0.000 0.000 0.500 (multiplicity 4)
S 0.000 0.000 0.000 (multiplicity 4)

Results
raw formation energy: -462 meV per atom
DOS(E_F): 11.11 states/eV/cell

# 7
Below is a crystal of K2AsSeS relaxed with PBEsol, with properties calculated at the meta-GGA SCAN level.

Lattice parameters (Å, degrees): 6.148 6.148 4.702 90.00 90.00 90.00
Space group P4/mmm (No. 123)
Asymmetric unit:
K 0.000 0.500 0.000 (multiplicity 2)
As 0.000 0.000 0.500 (multiplicity 1)
Se 0.500 0.500 0.000 (multiplicity 1)
S 0.500 0.500 0.500 (multiplicity 1)

Results
raw formation energy: -140 meV per atom
DOS(E_F): 3.31 states/eV/cell

# 8
Below is a crystal of K2SbAs relaxed with PBEsol, with properties calculated at the meta-GGA SCAN level.

Lattice parameters (Å, degrees): 4.428 5.269 11.928 90.00 90.00 90.00
Space group Amm2 (No. 38)
Asymmetric unit:
K 0.000 0.000 0.000 (multiplicity 2)
K 0.500 0.000 0.276 (multiplicity 2)
Sb 0.000 0.000 0.699 (multiplicity 2)
As 0.500 0.000 0.570 (multiplicity 2)

Results
raw formation energy: -502 meV per atom
DOS(E_F): 2.67 states/eV/cell

# 9
Below is a crystal of K2SbAs relaxed with PBEsol, with properties calculated at the meta-GGA SCAN level.

Lattice parameters (Å, degrees): 6.454 10.535 3.180 90.00 90.00 90.00
Space group Cmmm (No. 65)
Asymmetric unit:
K 0.250 0.250 0.000 (multiplicity 4)
Sb 0.000 0.000 0.500 (multiplicity 2)
As 0.000 0.500 0.500 (multiplicity 2)

Results
raw formation energy: -295 meV per atom
DOS(E_F): 3.26 states/eV/cell

# 10
Below is a crystal of KSbAs relaxed with PBEsol, with properties calculated at the meta-GGA SCAN level.

Lattice parameters (Å, degrees): 5.2351 5.2351 3.3290 90.00 90.00 120.00
Space group P-6m2 (No. 187)
Asymmetric unit:
K 0.0000 0.0000 0.0000 (multiplicity 1)
Sb 0.3333 0.6667 0.5000 (multiplicity 1)
As 0.6667 0.3333 0.5000 (multiplicity 1)

Results
raw formation energy: -76 meV per atom
DOS(E_F): 1.56 states/eV/cell

# 11
Below is a crystal of KSbAs relaxed with PBEsol, with properties calculated at the meta-GGA SCAN level.

Lattice parameters (Å, degrees): 3.759 3.759 12.050 90.00 90.00 90.00
Space group I4mm (No. 107)
Asymmetric unit:
K 0.000 0.000 0.000 (multiplicity 2)
Sb 0.000 0.000 0.713 (multiplicity 2)
As 0.000 0.000 0.296 (multiplicity 2)

Results
raw formation energy: -336 meV per atom
DOS(E_F): 1.68 states/eV/cell

# 12
Below is a crystal of K2SbAs relaxed with PBEsol, with properties calculated at the meta-GGA SCAN level.

Lattice parameters (Å, degrees): 3.961 5.624 11.515 90.00 90.00 90.00
Space group Imm2 (No. 44)
Asymmetric unit:
K 0.000 0.000 0.000 (multiplicity 2)
K 0.000 0.500 0.214 (multiplicity 2)
Sb 0.000 0.500 0.797 (multiplicity 2)
As 0.000 0.000 0.455 (multiplicity 2)

Results
raw formation energy: -472 meV per atom
DOS(E_F): 1.28 states/eV/cell